La3Nd6Ho2 | GGA-PBE | relaxed

Values from the calculation:
* space-group type: R-3m
* ΔE to the lowest computed polymorph: 0.0 meV/atom
* total magnetization: 0.30 μB/f.u.

a = 5.822 Å, b = 5.822 Å, c = 13.581 Å
α = 77.62°, β = 77.62°, γ = 60.00°
Fractional positions:
Nd 0.826 0.826 0.522
Nd 0.087 0.087 0.739
Nd 0.174 0.174 0.478
Nd 0.630 0.630 0.109
Nd 0.913 0.913 0.261
Nd 0.370 0.370 0.891
La 0.000 0.000 0.000
La 0.273 0.273 0.182
La 0.727 0.727 0.818
Ho 0.457 0.457 0.628
Ho 0.543 0.543 0.372

=====

LiCa5Au6 | GGA-PBE | relaxed

Values from the calculation:
* space-group type: C2/m
* total magnetization: 0.00 μB/f.u.

a = 5.102 Å, b = 8.770 Å, c = 8.770 Å
α = 119.84°, β = 106.84°, γ = 106.84°
Fractional positions:
Ca 0.000 0.668 0.332
Ca 0.500 0.500 0.500
Ca 0.500 0.836 0.164
Ca 0.500 0.164 0.836
Ca 0.000 0.332 0.668
Au 0.759 0.920 0.597
Au 0.241 0.080 0.403
Au 0.241 0.403 0.080
Au 0.251 0.752 0.752
Au 0.749 0.248 0.248
Au 0.759 0.597 0.920
Li 0.000 0.000 0.000

=====

Number 1: ΔH_f (0 K) 1.5 eV per formula unit. Number 2: ΔH_f (0 K) -8.7 eV per formula unit.